Entry 1:
Material: Al3Ir
Method: DFT, PBE
State: relaxed

electronic total energy: -5.308 eV per atom
space-group type: P-6m2, No. 187

abc: 2.926 2.926 8.376
angles: 90.00 90.00 120.00
Fractional positions:
Al 0.000 0.000 0.000
Al 0.333 0.667 0.267
Al 0.333 0.667 0.733
Ir 0.000 0.000 0.500

***

Entry 2:
Material: Dy8RuPb2
Method: DFT, PBE
State: relaxed

electronic total energy: -5.142 eV per atom
space-group type: C2/m, No. 12

abc: 9.982 9.982 6.714
angles: 105.09 105.09 29.18
Fractional positions:
Dy 0.018 0.018 0.286
Dy 0.216 0.216 0.824
Dy 0.358 0.358 0.498
Dy 0.412 0.412 0.042
Dy 0.588 0.588 0.958
Dy 0.642 0.642 0.502
Dy 0.784 0.784 0.176
Dy 0.982 0.982 0.714
Ru 0.500 0.500 0.500
Pb 0.181 0.181 0.260
Pb 0.819 0.819 0.740

***

Entry 3:
Material: Pm5ErP6
Method: DFT, PBE
State: relaxed

electronic total energy: -6.630 eV per atom
space-group type: C2/m, No. 12

abc: 7.111 7.111 7.111
angles: 99.61 99.61 119.99
Fractional positions:
Pm 0.000 0.000 0.000
Pm 0.166 0.834 0.500
Pm 0.333 0.667 0.000
Pm 0.667 0.333 0.000
Pm 0.834 0.166 0.500
Er 0.500 0.500 0.500
P 0.090 0.418 0.254
P 0.254 0.254 0.747
P 0.418 0.090 0.254
P 0.582 0.910 0.746
P 0.746 0.746 0.253
P 0.910 0.582 0.746

***

Entry 4:
Material: BeTlF2
Method: DFT, PBE
State: relaxed

uncorrected formation energy: -8.0 eV per formula unit
relative energy among the computed polymorphs: 0 kJ/mol of formula units
electronic total energy: -4.460 eV per atom
space-group type: Fd-3m, No. 227

abc: 5.454 5.454 5.454
angles: 60.00 60.00 60.00
Fractional positions:
Be 0.125 0.125 0.125
Be 0.875 0.875 0.875
Tl 0.375 0.375 0.375
Tl 0.625 0.625 0.625
F 0.000 0.000 0.000
F 0.000 0.000 0.500
F 0.000 0.500 0.000
F 0.500 0.000 0.000

***

Entry 5:
Material: Tb3In5S12
Method: DFT, PBE
State: relaxed

uncorrected formation energy: -21.6 eV per formula unit
relative energy among the computed polymorphs: 65 kJ/mol of formula units
electronic total energy: -4.938 eV per atom
space-group type: Ia-3d, No. 230

abc: 13.612 13.612 13.612
angles: 109.47 109.47 109.47
Fractional positions:
Tb 0.125 0.250 0.375
Tb 0.125 0.375 0.750
Tb 0.250 0.375 0.125
Tb 0.250 0.875 0.625
Tb 0.375 0.125 0.250
Tb 0.375 0.750 0.125
Tb 0.625 0.250 0.875
Tb 0.625 0.875 0.750
Tb 0.750 0.125 0.375
Tb 0.750 0.625 0.875
Tb 0.875 0.625 0.250
Tb 0.875 0.750 0.625
In 0.000 0.000 0.000
In 0.000 0.000 0.500
In 0.000 0.500 0.000
In 0.000 0.500 0.500
In 0.125 0.750 0.875
In 0.125 0.875 0.250
In 0.250 0.125 0.875
In 0.250 0.625 0.375
In 0.375 0.250 0.625
In 0.375 0.625 0.750
In 0.500 0.000 0.000
In 0.500 0.000 0.500
In 0.500 0.500 0.000
In 0.500 0.500 0.500
In 0.625 0.375 0.250
In 0.625 0.750 0.375
In 0.750 0.375 0.625
In 0.750 0.875 0.125
In 0.875 0.125 0.750
In 0.875 0.250 0.125
S 0.044 0.218 0.131
S 0.044 0.326 0.913
S 0.087 0.631 0.413
S 0.087 0.718 0.674
S 0.087 0.869 0.413
S 0.087 0.956 0.674
S 0.131 0.044 0.218
S 0.131 0.587 0.913
S 0.174 0.218 0.587
S 0.174 0.456 0.587
S 0.218 0.131 0.044
S 0.218 0.587 0.174
S 0.282 0.326 0.913
S 0.282 0.456 0.369
S 0.326 0.913 0.044
S 0.326 0.913 0.282
S 0.369 0.282 0.456
S 0.369 0.587 0.913
S 0.413 0.087 0.631
S 0.413 0.087 0.869
S 0.413 0.826 0.544
S 0.413 0.826 0.782
S 0.456 0.369 0.282
S 0.456 0.587 0.174
S 0.544 0.413 0.826
S 0.544 0.631 0.718
S 0.587 0.174 0.218
S 0.587 0.174 0.456
S 0.587 0.913 0.131
S 0.587 0.913 0.369
S 0.631 0.413 0.087
S 0.631 0.718 0.544
S 0.674 0.087 0.718
S 0.674 0.087 0.956
S 0.718 0.544 0.631
S 0.718 0.674 0.087
S 0.782 0.413 0.826
S 0.782 0.869 0.956
S 0.826 0.544 0.413
S 0.826 0.782 0.413
S 0.869 0.413 0.087
S 0.869 0.956 0.782
S 0.913 0.044 0.326
S 0.913 0.131 0.587
S 0.913 0.282 0.326
S 0.913 0.369 0.587
S 0.956 0.674 0.087
S 0.956 0.782 0.869

***

Entry 6:
Material: KMn2CuSe4
Method: DFT, PBE
State: relaxed

uncorrected formation energy: -3.9 eV per formula unit
electronic total energy: -5.171 eV per atom
space-group type: Cmcm, No. 63

abc: 7.023 7.023 13.720
angles: 90.00 90.00 148.29
Fractional positions:
K 0.126 0.874 0.750
K 0.874 0.126 0.250
Mn 0.375 0.625 0.567
Mn 0.375 0.625 0.933
Mn 0.625 0.375 0.067
Mn 0.625 0.375 0.433
Cu 0.160 0.840 0.250
Cu 0.840 0.160 0.750
Se 0.000 0.000 0.000
Se 0.000 0.000 0.500
Se 0.248 0.752 0.099
Se 0.248 0.752 0.401
Se 0.443 0.557 0.750
Se 0.557 0.443 0.250
Se 0.752 0.248 0.599
Se 0.752 0.248 0.901

***

Please write out number 1 again, unchanged.
Material: Al3Ir
Method: DFT, PBE
State: relaxed

electronic total energy: -5.308 eV per atom
space-group type: P-6m2, No. 187

abc: 2.926 2.926 8.376
angles: 90.00 90.00 120.00
Fractional positions:
Al 0.000 0.000 0.000
Al 0.333 0.667 0.267
Al 0.333 0.667 0.733
Ir 0.000 0.000 0.500

***

Which formula does entry 1 have?
Al3Ir